No. 1
First-principles (PBE) data for RbSnAs3 after structural relaxation, as listed in Alexandria via LeMat-Bulk.

Cell and atoms, written as CIF:
```
data_RbSnAs3
_space_group_name_H-M_alt 'P m -3 m'
_space_group_IT_number 221
_space_group_name_Hall '-P 4 2 3'
_cell_length_a 5.4244
_cell_length_b 5.4244
_cell_length_c 5.4244
_cell_angle_alpha 90.00
_cell_angle_beta 90.00
_cell_angle_gamma 90.00
loop_
_atom_site_label
_atom_site_type_symbol
_atom_site_fract_x
_atom_site_fract_y
_atom_site_fract_z
Rb1 Rb 0.0000 0.0000 0.0000
Sn1 Sn 0.5000 0.5000 0.5000
As1 As 0.0000 0.5000 0.5000
```

Summary:
Crystal system: cubic
Relative energy among the computed polymorphs in meV/atom: 0



No. 2
First-principles (PBE) data for LaTeMo2 after structural relaxation, as listed in Alexandria via LeMat-Bulk.

Cell and atoms, written as CIF:
```
data_LaTeMo2
_space_group_name_H-M_alt 'C 1 2/m 1'
_space_group_IT_number 12
_space_group_name_Hall '-C 2y'
_cell_length_a 9.9357
_cell_length_b 3.6385
_cell_length_c 5.3578
_cell_angle_alpha 90.00
_cell_angle_beta 103.91
_cell_angle_gamma 90.00
loop_
_atom_site_label
_atom_site_type_symbol
_atom_site_fract_x
_atom_site_fract_y
_atom_site_fract_z
La1 La 0.0000 0.0000 0.0000
Te1 Te 0.0000 0.5000 0.5000
Mo1 Mo 0.2348 0.0000 0.6516
```

Summary:
Crystal system: monoclinic
Formation energy without anion corrections in meV/atom: 195



No. 3
First-principles (PBE) data for BaSi4Ir4 after structural relaxation, as listed in Alexandria via LeMat-Bulk.

Cell and atoms, written as CIF:
```
data_BaSi4Ir4
_space_group_name_H-M_alt 'I 4/m'
_space_group_IT_number 87
_space_group_name_Hall '-I 4'
_cell_length_a 8.8765
_cell_length_b 8.8765
_cell_length_c 4.1194
_cell_angle_alpha 90.00
_cell_angle_beta 90.00
_cell_angle_gamma 90.00
loop_
_atom_site_label
_atom_site_type_symbol
_atom_site_fract_x
_atom_site_fract_y
_atom_site_fract_z
Ba1 Ba 0.0000 0.0000 0.0000
Si1 Si 0.1672 0.2775 0.5000
Ir1 Ir 0.0870 0.6476 0.5000
```

Summary:
Crystal system: tetragonal
Formation energy without anion corrections in meV/atom: -738



No. 4
First-principles (PBE) data for KPdCl2 after structural relaxation, as listed in Alexandria via LeMat-Bulk.

Cell and atoms, written as CIF:
```
data_KPdCl2
_space_group_name_H-M_alt 'R -3 m'
_space_group_IT_number 166
_space_group_name_Hall '-R 3 2"'
_cell_length_a 4.7191
_cell_length_b 4.7191
_cell_length_c 23.2738
_cell_angle_alpha 90.00
_cell_angle_beta 90.00
_cell_angle_gamma 120.00
loop_
_atom_site_label
_atom_site_type_symbol
_atom_site_fract_x
_atom_site_fract_y
_atom_site_fract_z
K1 K 0.0000 0.0000 0.0000
Pd1 Pd 0.0000 0.0000 0.5000
Cl1 Cl 0.0000 0.0000 0.4008
```

Summary:
Crystal system: trigonal
Formation energy without anion corrections in meV/atom: -836
Relative energy among the computed polymorphs in meV/atom: 26



No. 5
First-principles (PBE) data for LaBWBr2 after structural relaxation, as listed in Alexandria via LeMat-Bulk.

Cell and atoms, written as CIF:
```
data_LaBWBr2
_space_group_name_H-M_alt 'P 4/m m m'
_space_group_IT_number 123
_space_group_name_Hall '-P 4 2'
_cell_length_a 4.8029
_cell_length_b 4.8029
_cell_length_c 5.3196
_cell_angle_alpha 90.00
_cell_angle_beta 90.00
_cell_angle_gamma 90.00
loop_
_atom_site_label
_atom_site_type_symbol
_atom_site_fract_x
_atom_site_fract_y
_atom_site_fract_z
La1 La 0.0000 0.0000 0.0000
B1 B 0.0000 0.0000 0.5000
W1 W 0.5000 0.5000 0.0000
Br1 Br 0.0000 0.5000 0.5000
```

Summary:
Crystal system: tetragonal
Formation energy without anion corrections in meV/atom: 1258



No. 6
First-principles (PBE) data for Ho2Tm3In7 after structural relaxation, as listed in Alexandria via LeMat-Bulk.

Cell and atoms, written as CIF:
```
data_Ho2Tm3In7
_space_group_name_H-M_alt 'C m m m'
_space_group_IT_number 65
_space_group_name_Hall '-C 2 2'
_cell_length_a 4.8068
_cell_length_b 30.3577
_cell_length_c 4.5735
_cell_angle_alpha 90.00
_cell_angle_beta 90.00
_cell_angle_gamma 90.00
loop_
_atom_site_label
_atom_site_type_symbol
_atom_site_fract_x
_atom_site_fract_y
_atom_site_fract_z
Ho1 Ho 0.0000 0.1598 0.0000
Tm1 Tm 0.0000 0.3542 0.5000
Tm2 Tm 0.0000 0.5000 0.5000
In1 In 0.0000 0.0000 0.0000
In2 In 0.0000 0.0776 0.5000
In3 In 0.0000 0.2749 0.0000
In4 In 0.0000 0.4236 0.0000
```

Summary:
Crystal system: orthorhombic



| no. | E (eV/atom) |
| --- | --- |
| 1 | -3.38 |
| 2 | -7.24 |
| 3 | -7.30 |
| 4 | -3.33 |
| 5 | -4.32 |
| 6 | -3.68 |